## KRu2Cl (PBEsol)

Data for KRu2Cl after structural relaxation.

Values from the calculation:
Energy relative to the elements, uncorrected: 800 meV per atom
Theoretical density: 5.08 g/cm³

Cell: 3.562 5.490 5.490 Å, 65.96 71.07 71.07°
Element x y z (fractional)
Ru (0.923, 0.077, 0.077)
Ru (0.256, 0.244, 0.244)
K (0.765, 0.735, 0.735)
Cl (0.556, 0.444, 0.444)